YAsPd2W | GGA-PBE | relaxed

Structure (CIF):
```
data_YAsPd2W
_space_group_name_H-M_alt 'P 4/m m m'
_space_group_IT_number 123
_space_group_name_Hall '-P 4 2'
_cell_length_a 4.8369
_cell_length_b 4.8369
_cell_length_c 5.1506
_cell_angle_alpha 90.00
_cell_angle_beta 90.00
_cell_angle_gamma 90.00
loop_
_atom_site_label
_atom_site_fract_x
_atom_site_fract_y
_atom_site_fract_z
Y1 0.0000 0.0000 0.0000
As1 0.0000 0.0000 0.5000
Pd1 0.0000 0.5000 0.0000
W1 0.5000 0.5000 0.5000
```

Values from the calculation:
The density is 7.72 Mg/m³. The formation energy comes out at 1.573 eV per atom. The crystal system is tetragonal. As for the electronic total energy: -5.317 eV/atom.